(w)
A relaxed structure of Mn3FeOs, computed with GGA-PBE.

Density of states at the Fermi level: 2.039 states/eV/atom
Mass density: 10.2 g cm⁻³

Unit cell a=4.066 b=4.066 c=4.066 alpha=90.00 beta=90.00 gamma=90.00
Space group Pm-3m (No. 221)
Asymmetric unit:
Mn 0.000 0.000 0.500 [3 per cell]
Fe 0.000 0.000 0.000 [1 per cell]
Os 0.500 0.500 0.500 [1 per cell]


(x)
A relaxed structure of Mn3FeOs, computed with GGA-PBE.

Density of states at the Fermi level: 1.330 states/eV/atom
Mass density: 8.6 g cm⁻³

Unit cell a=4.9925 b=4.9925 c=11.0868 alpha=90.00 beta=90.00 gamma=120.00
Space group R-3m (No. 166, hexagonal axes)
Asymmetric unit:
Mn 0.0000 0.5000 0.0000 [9 per cell]
Fe 0.0000 0.0000 0.5000 [3 per cell]
Os 0.0000 0.0000 0.0000 [3 per cell]


How far above the most stable structure does each one sit? In eV/atom: (w) 0.163; (x) 0.000.